[1]
A plane-wave DFT calculation with GGA-PBE was carried out for an optimized crystal structure of YTmNi2.

As for the density of states at the Fermi level: 16.50 states/eV/cell. Its relative energy among the computed polymorphs is 60.0 meV/atom. The total energy comes out at -6.03 eV per atom. The formation energy is -39.3 kJ/mol of atoms.

The structure belongs to space group Fm-3m (No. 225); the cell edges are 6.724, 6.724 and 6.724 Å and the angles 90.00°, 90.00° and 90.00°. The asymmetric unit holds Y at (0.000, 0.000, 0.000), Tm at (0.000, 0.000, 0.500) and Ni at (0.250, 0.250, 0.250).



[2]
A plane-wave DFT calculation with GGA-PBE was carried out for an optimized crystal structure of YTmNi.

As for the density of states at the Fermi level: 1.85 states/eV/cell. Its relative energy among the computed polymorphs is 137.5 meV/atom. The total energy comes out at -5.73 eV per atom. The formation energy is -15.0 kJ/mol of atoms.

The structure belongs to space group P3m1 (No. 156); the cell edges are 3.9976, 3.9976 and 5.6557 Å and the angles 90.00°, 90.00° and 120.00°. The asymmetric unit holds Y at (0.0000, 0.0000, 0.0000), Tm at (0.3333, 0.6667, 0.4857) and Ni at (0.6667, 0.3333, 0.2536).



[3]
A plane-wave DFT calculation with GGA-PBE was carried out for an optimized crystal structure of Y3TmNi8.

As for the density of states at the Fermi level: 20.11 states/eV/cell. The total energy comes out at -6.28 eV per atom. The formation energy is -42.2 kJ/mol of atoms.

The structure belongs to space group R3m (No. 160, hexagonal axes); the cell edges are 5.0642, 5.0642 and 24.8801 Å and the angles 90.00°, 90.00° and 120.00°. The asymmetric unit holds Y at (0.0000, 0.0000, 0.0000), Y at (0.0000, 0.0000, 0.1252), Y at (0.0000, 0.0000, 0.5009), Tm at (0.0000, 0.0000, 0.6255), Ni at (0.0000, 0.0000, 0.3126), Ni at (0.0000, 0.0000, 0.8128), Ni at (0.0000, 0.5000, 0.5634) and Ni at (0.1674, 0.3347, 0.3957).



[4]
A plane-wave DFT calculation with GGA-PBE was carried out for an optimized crystal structure of YTmNi.

As for the density of states at the Fermi level: 12.11 states/eV/cell. Its relative energy among the computed polymorphs is 124.3 meV/atom. The total energy comes out at -5.74 eV per atom. The formation energy is -16.2 kJ/mol of atoms.

The structure belongs to space group F-43m (No. 216); the cell edges are 6.668, 6.668 and 6.668 Å and the angles 90.00°, 90.00° and 90.00°. The asymmetric unit holds Y at (0.000, 0.000, 0.000), Tm at (0.000, 0.000, 0.500) and Ni at (0.250, 0.250, 0.250).



[5]
A plane-wave DFT calculation with GGA-PBE was carried out for an optimized crystal structure of Y3Tm2Ni2.

As for the density of states at the Fermi level: 19.60 states/eV/cell. The total energy comes out at -5.95 eV per atom. The formation energy is -24.3 kJ/mol of atoms.

The structure belongs to space group C2/m (No. 12); the cell edges are 12.152, 3.581 and 8.959 Å and the angles 90.00°, 116.17° and 90.00°. The asymmetric unit holds Y at (0.000, 0.000, 0.000), Y at (0.114, 0.000, 0.432), Tm at (0.170, 0.500, 0.813) and Ni at (0.177, 0.500, 0.237).



[6]
A plane-wave DFT calculation with GGA-PBE was carried out for an optimized crystal structure of YTmNi.

As for the density of states at the Fermi level: 12.66 states/eV/cell. Its relative energy among the computed polymorphs is 0.0 meV/atom. The total energy comes out at -5.86 eV per atom. The formation energy is -28.2 kJ/mol of atoms.

The structure belongs to space group C2/m (No. 12); the cell edges are 13.303, 3.555 and 6.611 Å and the angles 90.00°, 110.90° and 90.00°. The asymmetric unit holds Y at (0.216, 0.000, 0.243), Tm at (0.022, 0.500, 0.759) and Ni at (0.110, 0.000, 0.553).



[7]
A plane-wave DFT calculation with GGA-PBE was carried out for an optimized crystal structure of YTm2Ni.

As for the density of states at the Fermi level: 4.98 states/eV/cell. Its relative energy among the computed polymorphs is 67.9 meV/atom. The total energy comes out at -5.50 eV per atom. The formation energy is -19.1 kJ/mol of atoms.

The structure belongs to space group P4/mmm (No. 123); the cell edges are 3.398, 3.398 and 8.630 Å and the angles 90.00°, 90.00° and 90.00°. The asymmetric unit holds Y at (0.000, 0.000, 0.000), Tm at (0.500, 0.500, 0.315) and Ni at (0.000, 0.000, 0.500).



[8]
A plane-wave DFT calculation with GGA-PBE was carried out for an optimized crystal structure of YTm3Ni2.

As for the density of states at the Fermi level: 21.73 states/eV/cell. Its relative energy among the computed polymorphs is 91.1 meV/atom. The total energy comes out at -5.46 eV per atom. The formation energy is -21.5 kJ/mol of atoms.

The structure belongs to space group C2/m (No. 12); the cell edges are 14.822, 4.985 and 7.975 Å and the angles 90.00°, 111.37° and 90.00°. The asymmetric unit holds Y at (0.144, 0.000, 0.231), Tm at (0.066, 0.000, 0.740), Tm at (0.126, 0.500, 0.508), Tm at (0.181, 0.500, 0.998), Ni at (0.011, 0.500, 0.157) and Ni at (0.221, 0.000, 0.628).



[9]
A plane-wave DFT calculation with GGA-PBE was carried out for an optimized crystal structure of YTmZnNi.

As for the density of states at the Fermi level: 11.21 states/eV/cell. Its relative energy among the computed polymorphs is 29.4 meV/atom. The total energy comes out at -4.86 eV per atom. The formation energy is -34.8 kJ/mol of atoms.

The structure belongs to space group F-43m (No. 216); the cell edges are 6.905, 6.905 and 6.905 Å and the angles 90.00°, 90.00° and 90.00°. The asymmetric unit holds Y at (0.000, 0.000, 0.000), Tm at (0.000, 0.000, 0.500), Zn at (0.250, 0.250, 0.250) and Ni at (0.250, 0.250, 0.750).



[10]
A plane-wave DFT calculation with GGA-PBE was carried out for an optimized crystal structure of YTmZnNi.

As for the density of states at the Fermi level: 3.64 states/eV/cell. Its relative energy among the computed polymorphs is 0.0 meV/atom. The total energy comes out at -4.89 eV per atom. The formation energy is -37.7 kJ/mol of atoms.

The structure belongs to space group P4mm (No. 99); the cell edges are 3.445, 3.445 and 6.941 Å and the angles 90.00°, 90.00° and 90.00°. The asymmetric unit holds Y at (0.000, 0.000, 0.000), Tm at (0.000, 0.000, 0.531), Zn at (0.500, 0.500, 0.273) and Ni at (0.500, 0.500, 0.753).



[11]
A plane-wave DFT calculation with GGA-PBE was carried out for an optimized crystal structure of TmZnNi2.

As for the density of states at the Fermi level: 2.69 states/eV/cell. The total energy comes out at -4.59 eV per atom. The formation energy is -25.7 kJ/mol of atoms.

The structure belongs to space group P4/mmm (No. 123); the cell edges are 4.259, 4.259 and 3.369 Å and the angles 90.00°, 90.00° and 90.00°. The asymmetric unit holds Tm at (0.000, 0.000, 0.000), Zn at (0.500, 0.500, 0.000) and Ni at (0.000, 0.500, 0.500).



[12]
A plane-wave DFT calculation with GGA-PBE was carried out for an optimized crystal structure of TmZn12Ni7.

As for the density of states at the Fermi level: 23.45 states/eV/cell. The total energy comes out at -2.83 eV per atom. The formation energy is 17.2 kJ/mol of atoms.

The structure belongs to space group Im-3 (No. 204); the cell edges are 8.730, 8.730 and 8.730 Å and the angles 90.00°, 90.00° and 90.00°. The asymmetric unit holds Tm at (0.000, 0.000, 0.000), Zn at (0.000, 0.239, 0.345), Ni at (0.000, 0.000, 0.500) and Ni at (0.250, 0.250, 0.250).



[13]
A plane-wave DFT calculation with GGA-PBE was carried out for an optimized crystal structure of Tm2Zn5Ni5.

As for the density of states at the Fermi level: 6.56 states/eV/cell. Its relative energy among the computed polymorphs is 0.0 meV/atom. The total energy comes out at -4.08 eV per atom. The formation energy is -38.0 kJ/mol of atoms.

The structure belongs to space group Pmmm (No. 47); the cell edges are 4.075, 5.066 and 8.682 Å and the angles 90.00°, 90.00° and 90.00°. The asymmetric unit holds Tm at (0.000, 0.000, 0.000), Tm at (0.000, 0.500, 0.500), Zn at (0.500, 0.000, 0.500), Zn at (0.500, 0.252, 0.244), Ni at (0.000, 0.000, 0.333), Ni at (0.000, 0.500, 0.161) and Ni at (0.500, 0.500, 0.000).



[14]
A plane-wave DFT calculation with GGA-PBE was carried out for an optimized crystal structure of TmZn2Ni9.

As for the density of states at the Fermi level: 35.52 states/eV/cell. Its relative energy among the computed polymorphs is 0.0 meV/atom. The total energy comes out at -5.15 eV per atom. The formation energy is -22.1 kJ/mol of atoms.

The structure belongs to space group P4/mbm (No. 127); the cell edges are 8.035, 8.035 and 4.714 Å and the angles 90.00°, 90.00° and 90.00°. The asymmetric unit holds Tm at (0.000, 0.000, 0.000), Zn at (0.118, 0.382, 0.000), Ni at (0.000, 0.500, 0.500), Ni at (0.063, 0.208, 0.500) and Ni at (0.179, 0.679, 0.242).



[15]
A plane-wave DFT calculation with GGA-PBE was carried out for an optimized crystal structure of TmZn2Ni4.

As for the density of states at the Fermi level: 10.75 states/eV/cell. Its relative energy among the computed polymorphs is 0.0 meV/atom. The total energy comes out at -4.62 eV per atom. The formation energy is -29.9 kJ/mol of atoms.

The structure belongs to space group C2/m (No. 12); the cell edges are 7.949, 6.217 and 4.938 Å and the angles 90.00°, 128.20° and 90.00°. The asymmetric unit holds Tm at (0.000, 0.000, 0.000), Zn at (0.001, 0.500, 0.751) and Ni at (0.193, 0.193, 0.693).



[16]
A plane-wave DFT calculation with GGA-PBE was carried out for an optimized crystal structure of Tm5Zn4Ni.

As for the density of states at the Fermi level: 7.86 states/eV/cell. The total energy comes out at -3.70 eV per atom. The formation energy is -36.2 kJ/mol of atoms.

The structure belongs to space group P4/mmm (No. 123); the cell edges are 3.477, 3.477 and 17.419 Å and the angles 90.00°, 90.00° and 90.00°. The asymmetric unit holds Tm at (0.000, 0.000, 0.000), Tm at (0.000, 0.000, 0.205), Tm at (0.000, 0.000, 0.409), Zn at (0.500, 0.500, 0.103), Zn at (0.500, 0.500, 0.305) and Ni at (0.500, 0.500, 0.500).



[17]
A plane-wave DFT calculation with GGA-PBE was carried out for an optimized crystal structure of Tm2ZnNi.

As for the density of states at the Fermi level: 7.09 states/eV/cell. Its relative energy among the computed polymorphs is 470.6 meV/atom. The total energy comes out at -3.94 eV per atom. The formation energy is 5.5 kJ/mol of atoms.

The structure belongs to space group R-3m (No. 166, hexagonal axes); the cell edges are 3.8311, 3.8311 and 26.9783 Å and the angles 90.00°, 90.00° and 120.00°. The asymmetric unit holds Tm at (0.0000, 0.0000, 0.1136), Zn at (0.0000, 0.0000, 0.0000) and Ni at (0.0000, 0.0000, 0.5000).



[18]
A plane-wave DFT calculation with GGA-PBE was carried out for an optimized crystal structure of TmZn2Ni2.

As for the density of states at the Fermi level: 7.84 states/eV/cell. Its relative energy among the computed polymorphs is 0.0 meV/atom. The total energy comes out at -4.06 eV per atom. The formation energy is -33.2 kJ/mol of atoms.

The structure belongs to space group I4/mmm (No. 139); the cell edges are 3.869, 3.869 and 21.179 Å and the angles 90.00°, 90.00° and 90.00°. The asymmetric unit holds Tm at (0.000, 0.000, 0.126), Zn at (0.000, 0.000, 0.317), Zn at (0.000, 0.500, 0.000), Ni at (0.000, 0.000, 0.429) and Ni at (0.000, 0.500, 0.250).



[19]
A plane-wave DFT calculation with GGA-PBE was carried out for an optimized crystal structure of TmZn4Ni8.

As for the density of states at the Fermi level: 20.40 states/eV/cell. The total energy comes out at -4.50 eV per atom. The formation energy is -20.2 kJ/mol of atoms.

The structure belongs to space group I4/mmm (No. 139); the cell edges are 8.284, 8.284 and 4.886 Å and the angles 90.00°, 90.00° and 90.00°. The asymmetric unit holds Tm at (0.000, 0.000, 0.000), Zn at (0.250, 0.250, 0.250), Ni at (0.000, 0.222, 0.500) and Ni at (0.000, 0.356, 0.000).



[20]
A plane-wave DFT calculation with GGA-PBE was carried out for an optimized crystal structure of TmZn2Ni.

As for the density of states at the Fermi level: 16.41 states/eV/cell. The total energy comes out at -3.43 eV per atom. The formation energy is -22.0 kJ/mol of atoms.

The structure belongs to space group Fm-3m (No. 225); the cell edges are 6.399, 6.399 and 6.399 Å and the angles 90.00°, 90.00° and 90.00°. The asymmetric unit holds Tm at (0.000, 0.000, 0.000), Zn at (0.250, 0.250, 0.250) and Ni at (0.000, 0.000, 0.500).



[21]
A plane-wave DFT calculation with GGA-PBE was carried out for an optimized crystal structure of Tm6ZnNi5.

As for the density of states at the Fermi level: 9.38 states/eV/cell. The total energy comes out at -5.18 eV per atom. The formation energy is -41.6 kJ/mol of atoms.

The structure belongs to space group P2/m (No. 10); the cell edges are 4.747, 6.737 and 7.491 Å and the angles 90.00°, 108.57° and 90.00°. The asymmetric unit holds Tm at (0.000, 0.242, 0.000), Tm at (0.331, 0.247, 0.661), Zn at (0.500, 0.500, 0.000), Ni at (0.163, 0.500, 0.328), Ni at (0.166, 0.000, 0.334) and Ni at (0.500, 0.000, 0.000).



[22]
A plane-wave DFT calculation with GGA-PBE was carried out for an optimized crystal structure of TmZn2Ni.

As for the density of states at the Fermi level: 2.76 states/eV/cell. The total energy comes out at -3.41 eV per atom. The formation energy is -20.6 kJ/mol of atoms.

The structure belongs to space group P4/mmm (No. 123); the cell edges are 3.182, 3.182 and 6.563 Å and the angles 90.00°, 90.00° and 90.00°. The asymmetric unit holds Tm at (0.000, 0.000, 0.000), Zn at (0.500, 0.500, 0.307) and Ni at (0.000, 0.000, 0.500).



[23]
A plane-wave DFT calculation with GGA-PBE was carried out for an optimized crystal structure of Tm8ZnNi2.

As for the density of states at the Fermi level: 27.26 states/eV/cell. Its relative energy among the computed polymorphs is 105.7 meV/atom. The total energy comes out at -4.54 eV per atom. The formation energy is -12.1 kJ/mol of atoms.

The structure belongs to space group Cm (No. 8); the cell edges are 8.353, 12.899 and 5.327 Å and the angles 90.00°, 104.65° and 90.00°. The asymmetric unit holds Tm at (0.000, 0.000, 0.000), Tm at (0.083, 0.371, 0.778), Tm at (0.176, 0.129, 0.605), Tm at (0.260, 0.500, 0.384), Tm at (0.379, 0.240, 0.192), Zn at (0.380, 0.000, 0.196) and Ni at (0.380, 0.306, 0.693).



[24]
A plane-wave DFT calculation with GGA-PBE was carried out for an optimized crystal structure of Tm3ZnNi3.

As for the density of states at the Fermi level: 11.44 states/eV/cell. Its relative energy among the computed polymorphs is 160.5 meV/atom. The total energy comes out at -4.91 eV per atom. The formation energy is -32.3 kJ/mol of atoms.

The structure belongs to space group P6_3/m (No. 176); the cell edges are 8.4567, 8.4567 and 4.3435 Å and the angles 90.00°, 90.00° and 120.00°. The asymmetric unit holds Tm at (0.0846, 0.6835, 0.2500), Zn at (0.3333, 0.6667, 0.7500) and Ni at (0.0356, 0.8528, 0.7500).